Entry 1:
Entry from Alexandria via LeMat-Bulk: a relaxed structure of CaScHg (PBE).

Calculated values
raw total energy	-9.4	eV for the cell shown
total magnetic moment	0.00	Bohr magnetons per cell
energy relative to the elements	-0.243	eV per atom

Lattice parameters (Å, degrees): 6.7393 6.7400 3.6393 74.33 74.35 31.33
Atoms (fractional coordinates):
Ca 0.9841 0.9841 0.0159
Sc 0.6997 0.6997 0.3003
Hg 0.3162 0.3162 0.6838

---

Entry 2:
Entry from Alexandria via LeMat-Bulk: a relaxed structure of CeSmTcHg (PBE).

Calculated values
raw total energy	-21.6	eV for the cell shown
total magnetic moment	0.14	Bohr magnetons per cell
energy relative to the elements	-0.059	eV per atom

Lattice parameters (Å, degrees): 5.1350 5.1350 5.1350 60.00 60.00 60.00
Each line ends with the local moment (μB).
Atoms (fractional coordinates):
Hg 0.7500 0.7500 0.7500  0.00
Tc 0.2500 0.2500 0.2500  -0.04
Ce 0.0000 0.0000 0.0000  0.15
Sm 0.5000 0.5000 0.5000  0.01

---

Entry 3:
Entry from Alexandria via LeMat-Bulk: a relaxed structure of TmSc2Co3 (PBE).

Calculated values
raw total energy	-40.2	eV for the cell shown
total magnetic moment	0.72	Bohr magnetons per cell
energy relative to the elements	-0.299	eV per atom

Lattice parameters (Å, degrees): 3.1889 3.1889 9.4591 90.00 90.00 90.00
Each line ends with the local moment (μB).
Atoms (fractional coordinates):
Co 0.0000 0.0000 0.6789  0.43
Sc 0.5000 0.5000 0.1621  -0.14
Co 0.0000 0.0000 0.3211  0.43
Co 0.0000 0.0000 0.0000  0.48
Sc 0.5000 0.5000 0.8379  -0.14
Tm 0.5000 0.5000 0.5000  -0.16

---

Entry 4:
Entry from Alexandria via LeMat-Bulk: a relaxed structure of MgPb3 (PBE).

Calculated values
raw total energy	-12.7	eV for the cell shown
total magnetic moment	0.00	Bohr magnetons per cell
energy relative to the elements	0.009	eV per atom

Lattice parameters (Å, degrees): 12.1027 12.1027 12.1027 16.11 16.11 16.11
Atoms (fractional coordinates):
Pb 0.5000 0.5000 0.5000
Pb 0.2568 0.2568 0.2568
Mg 0.0000 0.0000 0.0000
Pb 0.7432 0.7432 0.7432

---

Entry 5:
Entry from Alexandria via LeMat-Bulk: a relaxed structure of CaNi2AsPt (PBE).

Calculated values
raw total energy	-23.2	eV for the cell shown
total magnetic moment	1.31	Bohr magnetons per cell
energy relative to the elements	0.204	eV per atom

Lattice parameters (Å, degrees): 4.7441 4.7441 4.7409 90.00 90.00 90.00
Each line ends with the local moment (μB).
Atoms (fractional coordinates):
Ni 0.0000 0.5000 0.0000  0.64
Pt 0.0000 0.0000 0.0000  0.19
As 0.0000 0.0000 0.5000  -0.01
Ca 0.5000 0.5000 0.5000  -0.02
Ni 0.5000 0.0000 0.0000  0.64

---

Entry 6:
Entry from Alexandria via LeMat-Bulk: a relaxed structure of KZnRe2I (PBE).

Calculated values
raw total energy	-20.2	eV for the cell shown
total magnetic moment	7.28	Bohr magnetons per cell
energy relative to the elements, uncorrected	1.72	eV/atom

Lattice parameters (Å, degrees): 4.8764 6.6809 4.8764 90.00 90.00 90.00
Each line ends with the local moment (μB).
Atoms (fractional coordinates):
Zn 0.0000 0.0000 0.0000  0.06
Re 0.5000 0.0000 0.0000  2.60
Re 0.0000 0.0000 0.5000  3.10
I 0.0000 0.5000 0.0000  0.12
K 0.5000 0.5000 0.5000  0.01

---

Entry 7:
Entry from Alexandria via LeMat-Bulk: a relaxed structure of Sr8La3Ru3O21 (PBE).

Calculated values
raw total energy	-242.5	eV for the cell shown
total magnetic moment	7.00	Bohr magnetons per cell
energy relative to the elements, uncorrected	-2.35	eV/atom

Lattice parameters (Å, degrees): 5.8009 6.9488 14.8773 98.34 90.55 114.30
Each line ends with the local moment (μB).
Atoms (fractional coordinates):
O 0.0362 0.5278 0.3369  0.09
Sr 0.1699 0.3381 0.1996  0.01
O 0.3506 0.1880 0.0122  0.09
O 0.6464 0.4101 0.2106  0.08
O 0.9531 0.0620 0.8698  0.06
O 0.2413 0.6053 0.1078  -0.04
O 0.4233 0.4210 0.6126  0.09
Ru 0.6731 0.3228 0.3282  1.52
La 0.4976 0.0070 0.8701  0.02
O 0.6818 0.8733 0.6767  0.10
O 0.8720 0.2098 0.0355  0.06
Sr 0.8414 0.6805 0.5473  0.01
O 0.9642 0.4398 0.6498  0.11
O 0.0108 0.9381 0.1206  0.11
O 0.2929 0.7101 0.5385  0.11
O 0.2188 0.8896 0.7043  0.09
O 0.5410 0.3108 0.8325  0.03
O 0.5927 0.5667 0.3861  0.06
O 0.3063 0.1449 0.3164  0.11
Sr 0.4843 0.9755 0.1236  0.01
Sr 0.1219 0.1994 0.7269  0.00
Sr 0.2491 0.4656 0.9429  0.00
La 0.9242 0.8327 0.3223  0.02
O 0.0863 0.7650 0.9409  0.09
O 0.7548 0.0862 0.2775  0.12
O 0.6403 0.7832 0.9776  0.10
O 0.7294 0.2913 0.4521  0.11
Sr 0.8109 0.6454 0.7869  0.01
O 0.0093 0.0003 0.4712  0.02
La 0.1900 0.3626 0.4527  0.02
Ru 0.9897 0.9928 0.9961  1.29
O 0.3409 0.6151 0.7901  0.12
Sr 0.7922 0.5404 0.0677  0.01
Ru 0.3211 0.6574 0.6632  1.65
Sr 0.5574 0.1020 0.5763  0.01

---

Entry 8:
Entry from Alexandria via LeMat-Bulk: a relaxed structure of Ca2InBi2 (PBE).

Calculated values
raw total energy	-34.3	eV for the cell shown
total magnetic moment	0.00	Bohr magnetons per cell
energy relative to the elements	-0.528	eV per atom

Lattice parameters (Å, degrees): 9.4044 9.4044 3.6502 90.00 90.00 90.00
Atoms (fractional coordinates):
Ca 0.1404 0.6404 0.5000
Bi 0.6596 0.1596 0.0000
Bi 0.8404 0.6596 0.0000
Ca 0.3596 0.1404 0.5000
In 0.5000 0.5000 0.0000
Bi 0.1596 0.3404 0.0000
Bi 0.3404 0.8404 0.0000
In 0.0000 0.0000 0.0000
Ca 0.8596 0.3596 0.5000
Ca 0.6404 0.8596 0.5000

---

Entry 9:
Entry from Alexandria via LeMat-Bulk: a relaxed structure of Th4N5 (PBE).

Calculated values
raw total energy	-84.2	eV for the cell shown
total magnetic moment	0.00	Bohr magnetons per cell
energy relative to the elements, uncorrected	-1.43	eV/atom

Lattice parameters (Å, degrees): 4.1516 6.9942 6.9942 84.95 72.74 72.74
Atoms (fractional coordinates):
N 0.1714 0.4844 0.1727
Th 0.4136 0.3397 0.8330
Th 0.7534 0.8330 0.6603
N 0.5000 0.0000 0.0000
N 0.3441 0.8273 0.4844
Th 0.2466 0.1670 0.3397
Th 0.5864 0.6603 0.1670
N 0.6559 0.1727 0.5156
N 0.8286 0.5156 0.8273

---

Entry 10:
Entry from Alexandria via LeMat-Bulk: a relaxed structure of Ba2RhSe (PBE).

Calculated values
raw total energy	-17.7	eV for the cell shown
total magnetic moment	0.10	Bohr magnetons per cell
energy relative to the elements, uncorrected	-0.75	eV/atom

Lattice parameters (Å, degrees): 4.3964 4.3964 8.5950 75.18 75.18 59.92
Each line ends with the local moment (μB).
Atoms (fractional coordinates):
Rh 0.7500 0.7500 0.7500  -0.12
Ba 0.5004 0.5004 0.4978  0.01
Ba 0.9996 0.9996 0.0022  0.01
Se 0.2500 0.2500 0.2500  0.00

---

Entry 11:
Entry from Alexandria via LeMat-Bulk: a relaxed structure of RbMg2Pb4 (PBE).

Calculated values
raw total energy	-19.4	eV for the cell shown
total magnetic moment	0.00	Bohr magnetons per cell
energy relative to the elements	-0.061	eV per atom

Lattice parameters (Å, degrees): 6.3360 6.7092 6.7092 77.12 61.82 61.82
Atoms (fractional coordinates):
Pb 0.6962 0.6076 0.0000
Pb 0.3038 0.3924 0.0000
Mg 0.2500 0.5000 0.5000
Pb 0.6962 0.0000 0.6076
Rb 0.0000 0.0000 0.0000
Mg 0.7500 0.5000 0.5000
Pb 0.3038 0.0000 0.3924

---

Entry 12:
Entry from Alexandria via LeMat-Bulk: a relaxed structure of TaAsP (PBE).

Calculated values
raw total energy	-21.6	eV for the cell shown
total magnetic moment	0.00	Bohr magnetons per cell
energy relative to the elements	0.093	eV per atom

Lattice parameters (Å, degrees): 4.3652 4.3652 4.3652 60.00 60.00 60.00
Atoms (fractional coordinates):
Ta 0.7500 0.7500 0.7500
P 0.5000 0.5000 0.5000
As 0.0000 0.0000 0.0000

---

Entry 13:
Entry from Alexandria via LeMat-Bulk: a relaxed structure of Ce5PuIr4 (PBE).

Calculated values
raw total energy	-167.3	eV for the cell shown
total magnetic moment	17.81	Bohr magnetons per cell
energy relative to the elements	-0.422	eV per atom

Lattice parameters (Å, degrees): 7.0844 7.9556 9.4488 90.00 90.00 90.00
Each line ends with the local moment (μB).
Atoms (fractional coordinates):
Ir 0.4513 0.3292 0.5000  -0.08
Ce 0.7043 0.5000 0.0000  0.46
Ir 0.0265 0.0000 0.7219  -0.10
Ce 0.2674 0.2627 0.8032  0.64
Ce 0.7326 0.7627 0.3032  0.64
Ir 0.5487 0.8292 0.0000  -0.08
Ce 0.2957 0.0000 0.5000  0.46
Ir 0.4513 0.6708 0.5000  -0.08
Pu 0.9043 0.0000 0.0000  5.17
Ir 0.5487 0.1708 0.0000  -0.08
Ce 0.2674 0.2627 0.1968  0.64
Ce 0.2674 0.7373 0.8032  0.64
Ir 0.9735 0.5000 0.2219  -0.10
Pu 0.0957 0.5000 0.5000  5.17
Ce 0.2674 0.7373 0.1968  0.64
Ce 0.7326 0.2373 0.3032  0.64
Ce 0.7326 0.2373 0.6968  0.64
Ir 0.0265 0.0000 0.2781  -0.10
Ce 0.7326 0.7627 0.6968  0.64
Ir 0.9735 0.5000 0.7781  -0.10

---

Entry 14:
Entry from Alexandria via LeMat-Bulk: a relaxed structure of HIrIN2 (PBE).

Calculated values
raw total energy	-24.8	eV for the cell shown
total magnetic moment	0.53	Bohr magnetons per cell

Lattice parameters (Å, degrees): 3.7404 3.7404 6.1398 90.00 90.00 90.00
Each line ends with the local moment (μB).
Atoms (fractional coordinates):
I 0.0000 0.0000 0.5000  0.01
H 0.5000 0.5000 0.5000  0.04
Ir 0.0000 0.0000 0.0000  -0.02
N 0.5000 0.0000 0.0000  0.16
N 0.0000 0.5000 0.0000  0.16

---

Entry 15:
Entry from Alexandria via LeMat-Bulk: a relaxed structure of Ho12ZrIn3 (PBE).

Calculated values
raw total energy	-74.7	eV for the cell shown
total magnetic moment	0.00	Bohr magnetons per cell
energy relative to the elements	-0.185	eV per atom

Lattice parameters (Å, degrees): 4.8119 4.8119 19.5025 90.00 90.00 90.00
Atoms (fractional coordinates):
Ho 0.5000 0.5000 0.7481
Ho 0.5000 0.0000 0.3756
Ho 0.0000 0.5000 0.1243
In 0.0000 0.0000 0.5000
In 0.0000 0.0000 0.7467
Ho 0.5000 0.5000 0.0000
Ho 0.5000 0.5000 0.5000
Ho 0.0000 0.5000 0.8757
In 0.0000 0.0000 0.2533
Ho 0.0000 0.5000 0.6244
Ho 0.5000 0.5000 0.2519
Ho 0.5000 0.0000 0.6244
Ho 0.5000 0.0000 0.8757
Zr 0.0000 0.0000 0.0000
Ho 0.0000 0.5000 0.3756
Ho 0.5000 0.0000 0.1243

---

Entry 16:
Entry from Alexandria via LeMat-Bulk: a relaxed structure of Nd2GeAs (PBE).

Calculated values
raw total energy	-22.5	eV for the cell shown
total magnetic moment	0.00	Bohr magnetons per cell
energy relative to the elements	-0.922	eV per atom

Lattice parameters (Å, degrees): 4.1262 4.1262 8.0292 75.11 75.11 60.00
Atoms (fractional coordinates):
Ge 0.6683 0.6683 0.9950
Nd 0.0839 0.0839 0.7484
Nd 0.2493 0.2493 0.2521
As 0.4985 0.4985 0.5044

---

Entry 17:
Entry from Alexandria via LeMat-Bulk: a relaxed structure of Al2IrPb (PBE).

Calculated values
raw total energy	-21.0	eV for the cell shown
total magnetic moment	0.00	Bohr magnetons per cell
energy relative to the elements	-0.228	eV per atom

Lattice parameters (Å, degrees): 7.0747 7.0747 7.0747 155.82 145.62 42.47
Atoms (fractional coordinates):
Al 0.9942 0.9942 0.0000
Al 0.3298 0.8298 0.5000
Ir 0.4832 0.4832 0.0000
Pb 0.6927 0.1927 0.5000

---

Entry 18:
Entry from Alexandria via LeMat-Bulk: a relaxed structure of RbAg2Pt (PBE).

Calculated values
raw total energy	-12.6	eV for the cell shown
total magnetic moment	0.00	Bohr magnetons per cell
energy relative to the elements	0.026	eV per atom

Lattice parameters (Å, degrees): 4.7225 4.7225 6.6020 69.04 69.04 60.00
Atoms (fractional coordinates):
Ag 0.1840 0.1840 0.4481
Pt 0.5000 0.5000 0.5000
Rb 0.0000 0.0000 0.0000
Ag 0.8160 0.8160 0.5519

---

Entry 19:
Entry from Alexandria via LeMat-Bulk: a relaxed structure of LiMg2Zn2Sn2 (PBE).

Calculated values
raw total energy	-16.4	eV for the cell shown
total magnetic moment	0.00	Bohr magnetons per cell
energy relative to the elements	-0.104	eV per atom

Lattice parameters (Å, degrees): 4.6465 4.6465 8.3481 73.84 73.84 60.00
Atoms (fractional coordinates):
Li 0.0000 0.0000 0.0000
Sn 0.7314 0.7314 0.8058
Mg 0.8639 0.8639 0.4084
Zn 0.4415 0.4415 0.6756
Sn 0.2686 0.2686 0.1942
Zn 0.5585 0.5585 0.3244
Mg 0.1361 0.1361 0.5916

---

Entry 20:
Entry from Alexandria via LeMat-Bulk: a relaxed structure of NaCdBTe2 (PBE).

Calculated values
raw total energy	-8.7	eV for the cell shown
total magnetic moment	0.00	Bohr magnetons per cell
energy relative to the elements, uncorrected	1.30	eV/atom

Lattice parameters (Å, degrees): 5.5464 5.3727 5.5464 90.00 90.00 90.00
Atoms (fractional coordinates):
Te 0.5000 0.0000 0.0000
Te 0.0000 0.0000 0.5000
Cd 0.0000 0.5000 0.0000
B 0.5000 0.5000 0.5000
Na 0.0000 0.0000 0.0000